The following is a GGA-PBE calculation of an optimized crystal structure of KCrIr2, from Alexandria.

Properties
**Offset from the most stable computed form**: 20.8 kJ per mole of atoms
**Formation energy from the elements**: 53 kJ per mole of atoms

Lattice parameters (Å, degrees): 4.521 4.521 7.279 82.63 82.63 36.04
Each line ends with the local moment (μB).
Fractional positions:
Cr (0.250, 0.250, 0.250)  2.38
Ir (0.971, 0.971, 0.107)  -0.14
Ir (0.529, 0.529, 0.393)  -0.14
K (0.750, 0.750, 0.750)  0.00

---

The following is a GGA-PBE calculation of an optimized crystal structure of SrVZnTe2, from Alexandria.

Properties
**Uncorrected formation energy**: 73 meV per atom

Lattice parameters (Å, degrees): 5.193 5.822 5.193 90.00 90.00 90.00
Fractional positions:
Sr (0.000, 0.500, 0.000)
Zn (0.500, 0.500, 0.500)
Te (0.000, 0.000, 0.500)
Te (0.500, 0.000, 0.000)
V (0.000, 0.000, 0.000)

---

The following is a GGA-PBE calculation of an optimized crystal structure of Pu4BiSbSe2, from Alexandria.

Properties
**Uncorrected formation energy**: -990 meV per atom

Lattice parameters (Å, degrees): 4.338 7.440 7.512 70.33 90.00 90.00
Each line ends with the local moment (μB).
Fractional positions:
Pu (0.000, 0.770, 0.747)  -5.34
Pu (0.000, 0.230, 0.253)  -5.34
Pu (0.500, 0.773, 0.239)  -5.34
Pu (0.500, 0.227, 0.761)  -5.34
Bi (0.000, 0.500, 0.500)  0.21
Sb (0.500, 0.500, 0.000)  0.14
Se (0.000, 0.000, 0.000)  0.11
Se (0.500, 0.000, 0.500)  0.11

---

The following is a GGA-PBE calculation of an optimized crystal structure of Eu2TmTl, from Alexandria.

Properties
**Offset from the most stable computed form**: 0.0 kJ per mole of atoms
**Formation energy from the elements**: -13 kJ per mole of atoms

Lattice parameters (Å, degrees): 5.174 4.912 4.912 90.00 90.00 90.00
Each line ends with the local moment (μB).
Fractional positions:
Eu (0.000, 0.000, 0.500)  6.88
Eu (0.000, 0.500, 0.000)  6.88
Tl (0.500, 0.000, 0.000)  -0.04
Tm (0.500, 0.500, 0.500)  0.12